VASP calculation (PBE+U) on a geometry-optimized MnSbOsO structure.

Values from the calculation:
- Energy relative to the lowest polymorph listed for this composition: 0.63 eV/f.u.
- D(E_F): 1.55 states/eV/f.u.

abc: 3.2003 3.1264 13.2528
angles: 90.00 103.94 90.00
Each line ends with the local moment (μB).
Fractional coordinates of all 8 atoms:
O (0.0879, 0.5000, 0.5614)  -0.01
Mn (0.6997, 0.5000, 0.6733)  4.46
Os (0.3430, 0.5000, 0.3170)  0.00
Sb (0.9564, 0.0000, 0.4307)  0.00
O (0.0879, 0.0000, 0.0614)  -0.01
Sb (0.9564, 0.5000, 0.9307)  0.00
Os (0.3430, 0.0000, 0.8170)  0.00
Mn (0.6997, 0.0000, 0.1733)  4.46